Material: Zr4As3
Method: DFT, PBE-GGA
State: optimized geometry

Structure (extended XYZ):
```
14
Lattice="8.183 0.000 0.000 -4.091 7.086 0.000 0.000 0.000 5.408" Properties=species:S:1:pos:R:3 pbc="T T T"
Zr -1.959 4.755 1.352
Zr 0.953 3.012 1.352
Zr 0.000 4.724 4.056
Zr 3.085 0.681 4.056
Zr 1.007 6.405 1.352
Zr 4.091 2.362 1.352
Zr 3.139 4.074 4.056
Zr 6.051 2.331 4.056
As -2.576 5.172 4.056
As 0.900 2.270 4.056
As 2.416 0.355 1.352
As 1.675 6.731 4.056
As 3.191 4.816 1.352
As 6.667 1.915 1.352
```

As for the energy relative to the lowest polymorph listed for this composition: 0.0 kJ per mole of atoms. The spin magnetization is 0.01 μB per atom. Its density is 6.2 Mg/m³.